<i>
# Ce2SmTm

Ce2SmTm after structural relaxation (PBE, Alexandria via LeMat-Bulk).

Cell: 5.641 5.641 5.641 Å, 60.00 60.00 60.00°
Element x y z (fractional)
Ce1 0.250 0.250 0.250
Ce2 0.750 0.750 0.750
Sm1 0.000 0.000 0.000
Tm1 0.500 0.500 0.500

Results
Space-group type: Fm-3m (225)
V, Å³/atom: 31.740
DOS at the Fermi energy, states/eV/atom: 4.046

***

<ii>
# Ce2SmTm

Ce2SmTm after structural relaxation (PBE, Alexandria via LeMat-Bulk).

Cell: 7.327 7.327 6.438 Å, 116.06 116.06 102.08°
Element x y z (fractional)
Ce1 0.207 0.208 0.208
Ce2 0.208 0.207 0.708
Ce3 0.792 0.793 0.292
Ce4 0.793 0.792 0.792
Sm1 0.000 0.500 0.500
Sm2 0.500 0.000 0.000
Tm1 0.251 0.749 0.250
Tm2 0.749 0.251 0.750

Results
Space-group type: C2/c (15)
V, Å³/atom: 30.224
DOS at the Fermi energy, states/eV/atom: 2.658

***

Name the least stable of them. <i>.

***

<i>
# CeSm12Tm7

CeSm12Tm7 after structural relaxation (PBE, Alexandria via LeMat-Bulk).

Cell: 10.132 10.132 10.132 Å, 113.19 113.19 113.19°
Element x y z (fractional)
Ce1 0.000 0.000 0.000
Sm1 0.000 0.288 0.712
Sm2 0.000 0.712 0.288
Sm3 0.069 0.408 0.408
Sm4 0.288 0.000 0.712
Sm5 0.288 0.712 0.000
Sm6 0.408 0.069 0.408
Sm7 0.408 0.408 0.069
Sm8 0.592 0.592 0.931
Sm9 0.592 0.931 0.592
Sm10 0.712 0.000 0.288
Sm11 0.712 0.288 0.000
Sm12 0.931 0.592 0.592
Tm1 0.161 0.161 0.491
Tm2 0.161 0.491 0.161
Tm3 0.491 0.161 0.161
Tm4 0.500 0.500 0.500
Tm5 0.509 0.839 0.839
Tm6 0.839 0.509 0.839
Tm7 0.839 0.839 0.509

Results
Space-group type: R-3m (166)
V, Å³/atom: 33.419
DOS at the Fermi energy, states/eV/atom: 1.754

***

<ii>
# CeSm12Tm7

CeSm12Tm7 after structural relaxation (PBE, Alexandria via LeMat-Bulk).

Cell: 11.438 11.438 11.438 Å, 116.92 116.92 116.92°
Element x y z (fractional)
Ce1 0.000 0.000 0.000
Sm1 0.069 0.423 0.423
Sm2 0.087 0.500 0.913
Sm3 0.087 0.913 0.500
Sm4 0.423 0.069 0.423
Sm5 0.423 0.423 0.069
Sm6 0.500 0.087 0.913
Sm7 0.500 0.913 0.087
Sm8 0.577 0.577 0.931
Sm9 0.577 0.931 0.577
Sm10 0.913 0.087 0.500
Sm11 0.913 0.500 0.087
Sm12 0.931 0.577 0.577
Tm1 0.121 0.121 0.362
Tm2 0.121 0.362 0.121
Tm3 0.362 0.121 0.121
Tm4 0.500 0.500 0.500
Tm5 0.638 0.879 0.879
Tm6 0.879 0.638 0.879
Tm7 0.879 0.879 0.638

Results
Space-group type: R-3m (166)
V, Å³/atom: 33.427
DOS at the Fermi energy, states/eV/atom: 1.652

***

Name the least stable of them. <ii>.